# MgCoNi, optimized geometry, DFT PBE
data_MgCoNi
_chemical_formula_sum 'Mg4 Co4 Ni4'
_cell_length_a 4.874
_cell_length_b 4.874
_cell_length_c 7.767
_cell_angle_alpha 90.00
_cell_angle_beta 90.00
_cell_angle_gamma 120.75
_space_group_name_H-M_alt 'P 1'
_space_group_IT_number 1
_space_group_name_Hall 'P 1'
loop_
_atom_site_label
_atom_site_type_symbol
_atom_site_fract_x
_atom_site_fract_y
_atom_site_fract_z
_atom_site_occupancy
Mg1 Mg 0.333 0.667 0.188 1
Mg2 Mg 0.668 0.332 0.315 1
Mg3 Mg 0.668 0.332 0.685 1
Mg4 Mg 0.333 0.667 0.812 1
Co1 Co 0.006 0.994 0.245 1
Co2 Co 0.006 0.994 0.755 1
Co3 Co 0.820 0.661 0.000 1
Co4 Co 0.339 0.180 0.000 1
Ni1 Ni 0.825 0.175 0.000 1
Ni2 Ni 0.170 0.337 0.500 1
Ni3 Ni 0.663 0.830 0.500 1
Ni4 Ni 0.170 0.830 0.500 1
# Space-group type: Amm2 (38)
# Electronic total energy: -4.95 eV per atom
# Total magnetization: 6.44 μB/cell
# Formation energy from the elements: -128 meV per atom

---

# Mg14CoNi, optimized geometry, DFT PBE
data_Mg14CoNi
_chemical_formula_sum 'Mg14 Co1 Ni1'
_cell_length_a 6.198
_cell_length_b 6.198
_cell_length_c 9.764
_cell_angle_alpha 90.00
_cell_angle_beta 90.00
_cell_angle_gamma 118.43
_space_group_name_H-M_alt 'P 1'
_space_group_IT_number 1
_space_group_name_Hall 'P 1'
loop_
_atom_site_label
_atom_site_type_symbol
_atom_site_fract_x
_atom_site_fract_y
_atom_site_fract_z
_atom_site_occupancy
Mg1 Mg 0.338 0.662 0.500 1
Mg2 Mg 0.837 0.163 0.500 1
Mg3 Mg 0.868 0.633 0.000 1
Mg4 Mg 0.832 0.669 0.500 1
Mg5 Mg 0.367 0.132 0.000 1
Mg6 Mg 0.331 0.168 0.500 1
Mg7 Mg 0.655 0.845 0.796 1
Mg8 Mg 0.655 0.845 0.204 1
Mg9 Mg 0.155 0.345 0.796 1
Mg10 Mg 0.155 0.345 0.204 1
Mg11 Mg 0.166 0.834 0.753 1
Mg12 Mg 0.166 0.834 0.247 1
Mg13 Mg 0.664 0.336 0.752 1
Mg14 Mg 0.664 0.336 0.248 1
Co1 Co 0.323 0.677 0.000 1
Ni1 Ni 0.820 0.180 0.000 1
# Space-group type: Amm2 (38)
# Electronic total energy: -2.15 eV per atom
# Total magnetization: 0.91 μB/cell
# Formation energy from the elements: 50 meV per atom

---

# MgCoNi, optimized geometry, DFT PBE
data_MgCoNi
_chemical_formula_sum 'Mg1 Co1 Ni1'
_cell_length_a 5.699
_cell_length_b 5.699
_cell_length_c 5.699
_cell_angle_alpha 152.57
_cell_angle_beta 152.57
_cell_angle_gamma 39.18
_space_group_name_H-M_alt 'P 1'
_space_group_IT_number 1
_space_group_name_Hall 'P 1'
loop_
_atom_site_label
_atom_site_type_symbol
_atom_site_fract_x
_atom_site_fract_y
_atom_site_fract_z
_atom_site_occupancy
Co1 Co 0.015 0.015 0.000 1
Mg1 Mg 0.332 0.332 0.000 1
Ni1 Ni 0.652 0.652 0.000 1
# Space-group type: I4mm (107)
# Electronic total energy: -4.78 eV per atom
# Total magnetization: 1.72 μB/cell
# Formation energy from the elements: 51 meV per atom

---

# Mg2CoNi2, optimized geometry, DFT PBE
data_Mg2CoNi2
_chemical_formula_sum 'Mg4 Co2 Ni4'
_cell_length_a 7.135
_cell_length_b 7.135
_cell_length_c 2.755
_cell_angle_alpha 90.00
_cell_angle_beta 90.00
_cell_angle_gamma 90.00
_space_group_name_H-M_alt 'P 1'
_space_group_IT_number 1
_space_group_name_Hall 'P 1'
loop_
_atom_site_label
_atom_site_type_symbol
_atom_site_fract_x
_atom_site_fract_y
_atom_site_fract_z
_atom_site_occupancy
Ni1 Ni 0.158 0.658 0.500 1
Ni2 Ni 0.658 0.842 0.500 1
Ni3 Ni 0.842 0.342 0.500 1
Ni4 Ni 0.342 0.158 0.500 1
Mg1 Mg 0.358 0.858 0.000 1
Mg2 Mg 0.858 0.642 0.000 1
Mg3 Mg 0.642 0.142 0.000 1
Mg4 Mg 0.142 0.358 0.000 1
Co1 Co 0.000 0.000 0.000 1
Co2 Co 0.500 0.500 0.000 1
# Space-group type: P4/mbm (127)
# Electronic total energy: -4.11 eV per atom
# Total magnetization: 3.56 μB/cell
# Formation energy from the elements: 261 meV per atom

---

# MgCoNi, optimized geometry, DFT PBE
data_MgCoNi
_chemical_formula_sum 'Mg1 Co1 Ni1'
_cell_length_a 4.018
_cell_length_b 4.018
_cell_length_c 4.018
_cell_angle_alpha 60.00
_cell_angle_beta 60.00
_cell_angle_gamma 60.00
_space_group_name_H-M_alt 'P 1'
_space_group_IT_number 1
_space_group_name_Hall 'P 1'
loop_
_atom_site_label
_atom_site_type_symbol
_atom_site_fract_x
_atom_site_fract_y
_atom_site_fract_z
_atom_site_occupancy
Co1 Co 0.000 0.000 0.000 1
Mg1 Mg 0.500 0.500 0.500 1
Ni1 Ni 0.750 0.750 0.750 1
# Space-group type: F-43m (216)
# Electronic total energy: -4.46 eV per atom
# Total magnetization: 2.10 μB/cell
# Formation energy from the elements: 364 meV per atom

---

# Mg14CoNi, optimized geometry, DFT PBE
data_Mg14CoNi
_chemical_formula_sum 'Mg14 Co1 Ni1'
_cell_length_a 6.182
_cell_length_b 6.182
_cell_length_c 9.744
_cell_angle_alpha 90.00
_cell_angle_beta 90.00
_cell_angle_gamma 120.00
_space_group_name_H-M_alt 'P 1'
_space_group_IT_number 1
_space_group_name_Hall 'P 1'
loop_
_atom_site_label
_atom_site_type_symbol
_atom_site_fract_x
_atom_site_fract_y
_atom_site_fract_z
_atom_site_occupancy
Mg1 Mg 0.000 0.500 0.000 1
Mg2 Mg 0.000 0.500 0.500 1
Mg3 Mg 0.500 0.000 0.000 1
Mg4 Mg 0.500 0.000 0.500 1
Mg5 Mg 0.500 0.500 0.000 1
Mg6 Mg 0.500 0.500 0.500 1
Mg7 Mg 0.158 0.842 0.250 1
Mg8 Mg 0.158 0.842 0.750 1
Mg9 Mg 0.158 0.315 0.250 1
Mg10 Mg 0.158 0.315 0.750 1
Mg11 Mg 0.685 0.842 0.250 1
Mg12 Mg 0.685 0.842 0.750 1
Mg13 Mg 0.667 0.333 0.250 1
Mg14 Mg 0.667 0.333 0.750 1
Co1 Co 0.000 0.000 0.000 1
Ni1 Ni 0.000 0.000 0.500 1
# Space-group type: P-6m2 (187)
# Electronic total energy: -2.14 eV per atom
# Total magnetization: 1.24 μB/cell
# Formation energy from the elements: 66 meV per atom

---

Which formula does entry 3 have?
MgCoNi